Here is PmCl after structural relaxation from OQMD via LeMat-Bulk. Energies are from PBE-GGA.

Results
- M_tot: 0.0 μB/f.u.
- VASP energy: -0.1655 hartree per atom

Cell and atoms, written as POSCAR:
```
PmCl
1.0
0.000 2.857 2.857
2.857 0.000 2.857
2.857 2.857 0.000
Cl Pm
1 1
Direct
0.000 0.000 0.000
0.500 0.500 0.500
```